Record 1
Entry from the Alexandria database: crystalline In2MoRu at its relaxed geometry (PBE).

ΔE to the lowest computed polymorph, meV per atom: 272
D(E_F), states/eV per cell: 4.17
Spin magnetization, μB per atom: 0.096

```
In2MoRu
1.0
5.1069 0.0288 0.0000
1.7636 4.7928 0.0000
-3.4352 -2.4108 2.9100
In Mo Ru
2 1 1
direct
0.0000 0.0000 0.0000
0.2500 0.7500 0.5000
0.5000 0.5000 0.0000
0.7500 0.2500 0.5000
```


Record 2
Entry from the Alexandria database: crystalline In2MoRu at its relaxed geometry (PBE).

ΔE to the lowest computed polymorph, meV per atom: 263
D(E_F), states/eV per cell: 2.71
Spin magnetization, μB per atom: 0.000

```
In2MoRu
1.0
-4.2200 1.8529 1.6281
-4.7484 -0.9715 0.6332
-0.0419 -1.7170 4.8966
In Ru Mo
2 1 1
direct
0.0047 0.0047 0.9932
0.4953 0.4953 0.5068
0.7500 0.7500 0.7500
0.2500 0.2500 0.2500
```